Record 1
Co3BiCl: optimized geometry, PBE-GGA.

Properties
The formation energy without anion corrections is 752 meV/atom. Its symmetry is No. 221. The value obtained for the energy relative to the lowest polymorph listed for this composition is 0.000 eV/atom.

Cell and atoms, written as POSCAR:
```
Co3BiCl
1.0
-1.403 4.026 -0.122
-3.927 -1.338 0.994
0.900 0.439 4.146
Co Cl Bi
3 1 1
Cartesian
0.450 0.220 2.073
-1.963 -0.669 0.497
-0.702 2.013 -0.061
0.000 0.000 0.000
-2.215 1.564 2.509
```

Record 2
CoBiCl3: optimized geometry, PBE-GGA.

Properties
The formation energy without anion corrections is -178 meV/atom. Its symmetry is No. 221. The value obtained for the energy relative to the lowest polymorph listed for this composition is 0.000 eV/atom.

Cell and atoms, written as POSCAR:
```
CoBiCl3
1.0
4.779 0.000 0.000
0.000 4.779 0.000
0.000 0.000 4.779
Cl Co Bi
3 1 1
Cartesian
0.000 2.389 0.000
2.389 0.000 0.000
0.000 0.000 2.389
0.000 0.000 0.000
2.389 2.389 2.389
```

Q: Which of these has the highest formation energy without anion corrections?
A: Co3BiCl